1.
A plane-wave DFT calculation with PBE-GGA was carried out for a relaxed Nd2HfAl3Cu2Ni crystal.

The space group is Amm2 (No. 38) and the conventional cell measures 4.0173, 12.3557 and 6.8984 Å, with angles of 90.00, 90.00 and 90.00 degrees. The inequivalent atoms are Nd at (0.0000, 0.2058, 0.0000), Hf at (0.0000, 0.0000, 0.6101), Al at (0.5000, 0.0000, 0.9696), Al at (0.5000, 0.1101, 0.3310), Cu at (0.5000, 0.1509, 0.6995) and Ni at (0.0000, 0.0000, 0.2257).

As for the raw total energy: -5.26 eV per atom. The calculation puts the spin magnetization at 0.00 μB/atom.

***

2.
A plane-wave DFT calculation with PBE-GGA was carried out for a relaxed PmErPd crystal.

The space group is F-43m (No. 216) and the conventional cell measures 6.9449, 6.9449 and 6.9449 Å, with angles of 90.00, 90.00 and 90.00 degrees. The inequivalent atoms are Pm at (0.0000, 0.0000, 0.0000), Er at (0.0000, 0.0000, 0.5000) and Pd at (0.2500, 0.2500, 0.7500).

As for the raw total energy: -5.28 eV per atom. The calculation puts the spin magnetization at 0.00 μB/atom. The formation energy is -448.7 meV/atom.

***

3.
A plane-wave DFT calculation with PBE-GGA was carried out for a relaxed Re4Ni11 crystal.

The space group is P4_2/mnm (No. 136) and the conventional cell measures 8.9331, 8.9331 and 4.5487 Å, with angles of 90.00, 90.00 and 90.00 degrees. The inequivalent atoms are Re at (0.0715, 0.2615, 0.0000), Ni at (0.0000, 0.0000, 0.0000), Ni at (0.0314, 0.3685, 0.5000), Ni at (0.1033, 0.1033, 0.5000) and Ni at (0.1724, 0.8276, 0.2510).

As for the raw total energy: -7.27 eV per atom. The value obtained for the polymorph energy (0 for the lowest one) is 0.91 kcal/mol of atoms. The calculation puts the spin magnetization at 0.00 μB/atom. The formation energy is 122.2 meV/atom.

***

Copy entry 2 word for word.
A plane-wave DFT calculation with PBE-GGA was carried out for a relaxed PmErPd crystal.

The space group is F-43m (No. 216) and the conventional cell measures 6.9449, 6.9449 and 6.9449 Å, with angles of 90.00, 90.00 and 90.00 degrees. The inequivalent atoms are Pm at (0.0000, 0.0000, 0.0000), Er at (0.0000, 0.0000, 0.5000) and Pd at (0.2500, 0.2500, 0.7500).

As for the raw total energy: -5.28 eV per atom. The calculation puts the spin magnetization at 0.00 μB/atom. The formation energy is -448.7 meV/atom.